(1)
Li2DyNp3Se6 | the Alexandria database | PBE | relaxed; formation energy without anion corrections = -1.288 eV per atom; space group = C2/m
1.0
8.870 -2.041 0.000
8.870 2.041 0.000
-1.814 0.000 7.914
Li Dy Np Se
2 1 3 6
Cartesian
2.453 0.000 2.744
13.472 0.000 5.171
8.870 0.000 0.000
1.474 0.000 6.564
7.963 0.000 3.957
14.452 0.000 1.350
-0.400 0.000 1.971
5.125 0.000 3.350
4.283 0.000 7.216
11.643 0.000 0.699
10.801 0.000 4.564
16.326 0.000 5.943

(2)
Sc3Cr | the Alexandria database | PBE | relaxed; energy of formation = 340 meV/atom; space group = Pm-3n
1.0
5.623 0.000 0.000
0.000 5.623 0.000
0.000 0.000 5.623
Sc Cr
6 2
Cartesian
0.000 1.406 2.812
0.000 4.218 2.812
1.406 2.812 0.000
2.812 0.000 1.406
2.812 0.000 4.218
4.218 2.812 0.000
0.000 0.000 0.000
2.812 2.812 2.812

Number 1: magnetization 13.34 Bohr magnetons per cell, total DFT energy (no corrections) -6.968 eV/atom. Number 2: magnetization 8.86 Bohr magnetons per cell, total DFT energy (no corrections) -6.815 eV/atom.